Entry 1:
Compound: YCu2Rh
Source: the Alexandria database
Functional: PBE-GGA
Structure: optimized geometry

```
data_YCu2Rh
_chemical_formula_sum 'Y4 Cu8 Rh4'
_cell_length_a 6.4346
_cell_length_b 6.4346
_cell_length_c 6.4346
_cell_angle_alpha 90.00
_cell_angle_beta 90.00
_cell_angle_gamma 90.00
_symmetry_space_group_name_H-M 'F -4 3 m'
_symmetry_Int_Tables_number 216
_symmetry_space_group_name_Hall 'F -4 2 3'
loop_
_atom_site_label
_atom_site_type_symbol
_atom_site_fract_x
_atom_site_fract_y
_atom_site_fract_z
_atom_site_occupancy
Y1 Y 0.0000 0.0000 0.0000 1
Cu1 Cu 0.0000 0.0000 0.5000 1
Cu2 Cu 0.2500 0.2500 0.2500 1
Rh1 Rh 0.2500 0.2500 0.7500 1
```

Computed properties:
formation energy = -214 meV per atom
raw total energy = -5.716 eV per atom
energy above the most stable polymorph in this dataset = 0.1312 eV per atom

=====

Entry 2:
Compound: YCu2Rh
Source: the Alexandria database
Functional: PBE-GGA
Structure: optimized geometry

```
data_YCu2Rh
_chemical_formula_sum 'Y1 Cu2 Rh1'
_cell_length_a 3.3803
_cell_length_b 3.3803
_cell_length_c 5.8335
_cell_angle_alpha 90.00
_cell_angle_beta 90.00
_cell_angle_gamma 90.00
_symmetry_space_group_name_H-M 'P 4 m m'
_symmetry_Int_Tables_number 99
loop_
_symmetry_equiv_pos_as_xyz
'x,y,z'
'-y,x,z'
'-x,-y,z'
'y,-x,z'
'-x,y,z'
'y,x,z'
'x,-y,z'
'-y,-x,z'
loop_
_atom_site_label
_atom_site_type_symbol
_atom_site_fract_x
_atom_site_fract_y
_atom_site_fract_z
_atom_site_occupancy
Y1 Y 0.0000 0.0000 0.0000 1
Cu1 Cu 0.0000 0.0000 0.4983 1
Cu2 Cu 0.5000 0.5000 0.3018 1
Rh1 Rh 0.5000 0.5000 0.7340 1
```

Computed properties:
formation energy = -234 meV per atom
raw total energy = -5.736 eV per atom
energy above the most stable polymorph in this dataset = 0.1120 eV per atom

=====

Entry 3:
Compound: YCuRh
Source: the Alexandria database
Functional: PBE-GGA
Structure: optimized geometry

```
data_YCuRh
_chemical_formula_sum 'Y16 Cu16 Rh16'
_cell_length_a 5.1425
_cell_length_b 13.0152
_cell_length_c 14.4965
_cell_angle_alpha 90.00
_cell_angle_beta 90.00
_cell_angle_gamma 90.00
_symmetry_space_group_name_H-M 'F m m m'
_symmetry_Int_Tables_number 69
_symmetry_space_group_name_Hall '-F 2 2'
loop_
_atom_site_label
_atom_site_type_symbol
_atom_site_fract_x
_atom_site_fract_y
_atom_site_fract_z
_atom_site_occupancy
Y1 Y 0.0000 0.1406 0.1233 1
Cu1 Cu 0.0000 0.0000 0.4138 1
Cu2 Cu 0.0000 0.1686 0.5000 1
Rh1 Rh 0.0000 0.1621 0.3150 1
```

Computed properties:
formation energy = -219 meV per atom
raw total energy = -6.190 eV per atom

=====

Q: Which of these has the highest formation energy?
A: number 1

=====

What did the first record say?
Compound: YCu2Rh
Source: the Alexandria database
Functional: PBE-GGA
Structure: optimized geometry

```
data_YCu2Rh
_chemical_formula_sum 'Y4 Cu8 Rh4'
_cell_length_a 6.4346
_cell_length_b 6.4346
_cell_length_c 6.4346
_cell_angle_alpha 90.00
_cell_angle_beta 90.00
_cell_angle_gamma 90.00
_symmetry_space_group_name_H-M 'F -4 3 m'
_symmetry_Int_Tables_number 216
_symmetry_space_group_name_Hall 'F -4 2 3'
loop_
_atom_site_label
_atom_site_type_symbol
_atom_site_fract_x
_atom_site_fract_y
_atom_site_fract_z
_atom_site_occupancy
Y1 Y 0.0000 0.0000 0.0000 1
Cu1 Cu 0.0000 0.0000 0.5000 1
Cu2 Cu 0.2500 0.2500 0.2500 1
Rh1 Rh 0.2500 0.2500 0.7500 1
```

Computed properties:
formation energy = -214 meV per atom
raw total energy = -5.716 eV per atom
energy above the most stable polymorph in this dataset = 0.1312 eV per atom